# Ac4TbS5 (PBE, optimized geometry)
# - Energy relative to the elements, uncorrected: -1976 meV/atom
# - Volume: 537.6 Å³ per cell
data_Ac4TbS5
_symmetry_space_group_name_H-M 'I 4/m'
_symmetry_Int_Tables_number 87
_symmetry_space_group_name_Hall '-I 4'
_cell_length_a 9.457
_cell_length_b 9.457
_cell_length_c 6.011
_cell_angle_alpha 90.00
_cell_angle_beta 90.00
_cell_angle_gamma 90.00
loop_
_atom_site_label
_atom_site_type_symbol
_atom_site_fract_x
_atom_site_fract_y
_atom_site_fract_z
Ac1 Ac 0.096 0.302 0.000
Tb1 Tb 0.000 0.000 0.500
S1 S 0.000 0.000 0.000
S2 S 0.098 0.284 0.500



# AcTb2S (PBE, optimized geometry)
# - Energy relative to the elements, uncorrected: -791 meV/atom
# - Volume: 386.4 Å³ per cell
data_AcTb2S
_symmetry_space_group_name_H-M 'R -3 m'
_symmetry_Int_Tables_number 166
_symmetry_space_group_name_Hall '-R 3 2"'
_cell_length_a 3.7676
_cell_length_b 3.7676
_cell_length_c 31.4344
_cell_angle_alpha 90.00
_cell_angle_beta 90.00
_cell_angle_gamma 120.00
loop_
_atom_site_label
_atom_site_type_symbol
_atom_site_fract_x
_atom_site_fract_y
_atom_site_fract_z
Ac1 Ac 0.0000 0.0000 0.0000
Tb1 Tb 0.0000 0.0000 0.1155
S1 S 0.0000 0.0000 0.5000



# Ac5TbS6 (PBE, optimized geometry)
# - Energy relative to the elements, uncorrected: -1991 meV/atom
# - Volume: 649.2 Å³ per cell
data_Ac5TbS6
_symmetry_space_group_name_H-M 'C 1 2/m 1'
_symmetry_Int_Tables_number 12
_symmetry_space_group_name_Hall '-C 2y'
_cell_length_a 7.347
_cell_length_b 12.742
_cell_length_c 7.362
_cell_angle_alpha 90.00
_cell_angle_beta 109.61
_cell_angle_gamma 90.00
loop_
_atom_site_label
_atom_site_type_symbol
_atom_site_fract_x
_atom_site_fract_y
_atom_site_fract_z
Ac1 Ac 0.000 0.000 0.000
Ac2 Ac 0.000 0.166 0.500
Ac3 Ac 0.000 0.329 0.000
Tb1 Tb 0.000 0.500 0.500
S1 S 0.236 0.500 0.256
S2 S 0.237 0.341 0.737



# AcTbS (PBE, optimized geometry)
# - Energy relative to the elements, uncorrected: -1068 meV/atom
# - Volume: 173.8 Å³ per cell
# - Polymorph energy (0 for the lowest one): 111.1 meV/atom
data_AcTbS
_symmetry_space_group_name_H-M 'P m m n'
_symmetry_Int_Tables_number 59
_cell_length_a 3.739
_cell_length_b 4.894
_cell_length_c 9.495
_cell_angle_alpha 90.00
_cell_angle_beta 90.00
_cell_angle_gamma 90.00
loop_
_symmetry_equiv_pos_as_xyz
'x,y,z'
'-x,-y,-z'
'-x+1/2,-y+1/2,z'
'x+1/2,y+1/2,-z'
'x+1/2,-y,-z'
'-x+1/2,y,z'
'-x,y+1/2,-z'
'x,-y+1/2,z'
loop_
_atom_site_label
_atom_site_type_symbol
_atom_site_fract_x
_atom_site_fract_y
_atom_site_fract_z
Ac1 Ac 0.250 0.250 0.150
Tb1 Tb 0.250 0.750 0.422
S1 S 0.250 0.250 0.827



# Ac5Tb3S8 (PBE, optimized geometry)
# - Energy relative to the elements, uncorrected: -1978 meV/atom
# - Volume: 1229.0 Å³ per cell
data_Ac5Tb3S8
_symmetry_space_group_name_H-M 'R -3 m'
_symmetry_Int_Tables_number 166
_symmetry_space_group_name_Hall '-R 3 2"'
_cell_length_a 8.2733
_cell_length_b 8.2733
_cell_length_c 20.7326
_cell_angle_alpha 90.00
_cell_angle_beta 90.00
_cell_angle_gamma 120.00
loop_
_atom_site_label
_atom_site_type_symbol
_atom_site_fract_x
_atom_site_fract_y
_atom_site_fract_z
Ac1 Ac 0.0000 0.0000 0.0000
Ac2 Ac 0.0000 0.0000 0.5000
Ac3 Ac 0.0000 0.5000 0.0000
Tb1 Tb 0.0000 0.5000 0.5000
S1 S 0.0000 0.0000 0.2403
S2 S 0.0139 0.5069 0.7571



# Ac2TbS4 (PBE, optimized geometry)
# - Energy relative to the elements, uncorrected: -1997 meV/atom
# - Volume: 784.2 Å³ per cell
data_Ac2TbS4
_symmetry_space_group_name_H-M 'C m c m'
_symmetry_Int_Tables_number 63
_symmetry_space_group_name_Hall '-C 2c 2'
_cell_length_a 3.988
_cell_length_b 14.236
_cell_length_c 13.814
_cell_angle_alpha 90.00
_cell_angle_beta 90.00
_cell_angle_gamma 90.00
loop_
_atom_site_label
_atom_site_type_symbol
_atom_site_fract_x
_atom_site_fract_y
_atom_site_fract_z
Ac1 Ac 0.000 0.130 0.076
Tb1 Tb 0.000 0.371 0.250
S1 S 0.000 0.009 0.250
S2 S 0.000 0.216 0.628
S3 S 0.000 0.500 0.000



# AcTbTe2S (PBE, optimized geometry)
# - Energy relative to the elements, uncorrected: -1574 meV/atom
# - Volume: 334.4 Å³ per cell
data_AcTbTe2S
_symmetry_space_group_name_H-M 'P 4/n m m'
_symmetry_Int_Tables_number 129
_cell_length_a 4.585
_cell_length_b 4.585
_cell_length_c 15.906
_cell_angle_alpha 90.00
_cell_angle_beta 90.00
_cell_angle_gamma 90.00
loop_
_symmetry_equiv_pos_as_xyz
'x,y,z'
'-x,-y,-z'
'-y+1/2,x,z'
'y+1/2,-x,-z'
'-x+1/2,-y+1/2,z'
'x+1/2,y+1/2,-z'
'y,-x+1/2,z'
'-y,x+1/2,-z'
'x+1/2,-y,-z'
'-x+1/2,y,z'
'-y,-x,-z'
'y,x,z'
'-x,y+1/2,-z'
'x,-y+1/2,z'
'y+1/2,x+1/2,-z'
'-y+1/2,-x+1/2,z'
loop_
_atom_site_label
_atom_site_type_symbol
_atom_site_fract_x
_atom_site_fract_y
_atom_site_fract_z
Ac1 Ac 0.250 0.250 0.110
Tb1 Tb 0.250 0.250 0.607
Te1 Te 0.250 0.250 0.406
Te2 Te 0.250 0.250 0.789
S1 S 0.250 0.750 0.000



# Ac2TbThS4 (PBE, optimized geometry)
# - Energy relative to the elements, uncorrected: -1941 meV/atom
# - Volume: 201.0 Å³ per cell
data_Ac2TbThS4
_symmetry_space_group_name_H-M 'P 1 2/m 1'
_symmetry_Int_Tables_number 10
_symmetry_space_group_name_Hall '-P 2y'
_cell_length_a 7.151
_cell_length_b 4.102
_cell_length_c 7.246
_cell_angle_alpha 90.00
_cell_angle_beta 108.94
_cell_angle_gamma 90.00
loop_
_atom_site_label
_atom_site_type_symbol
_atom_site_fract_x
_atom_site_fract_y
_atom_site_fract_z
Ac1 Ac 0.000 0.000 0.000
Ac2 Ac 0.500 0.500 0.000
Tb1 Tb 0.000 0.500 0.500
Th1 Th 0.500 0.000 0.500
S1 S 0.236 0.000 0.725
S2 S 0.251 0.500 0.272